No. 1
{"formula": "La5Ho4Sc2", "functional": "GGA-PBE", "state": "relaxed", "mass_density_g_cm3": 6.67, "space_group": "P2/m (10)", "total_energy_ha_per_atom": -0.183, "formation_enthalpy_0k_ev_per_atom": 0.076, "lattice": [[-0.494, -1.727, -3.061], [-5.893, -5.382, 3.986], [-8.932, 6.668, -2.321]], "species": ["Ho", "La", "Sc", "Ho", "Sc", "Ho", "La", "La", "La", "Ho", "La"], "fractional_positions": [[0.500, 0.746, 0.443], [0.000, 0.818, 0.157], [0.000, 0.062, 0.370], [0.500, 0.170, 0.128], [0.000, 0.938, 0.630], [0.500, 0.830, 0.872], [0.000, 0.439, 0.307], [0.000, 0.500, 0.000], [0.000, 0.182, 0.843], [0.500, 0.254, 0.557], [0.000, 0.561, 0.693]]}

---

No. 2
{"formula": "LaHo3Sc7", "functional": "GGA-PBE", "state": "relaxed", "mass_density_g_cm3": 5.08, "space_group": "C2/m (12)", "total_energy_ha_per_atom": -0.200, "formation_enthalpy_0k_ev_per_atom": 0.286, "lattice": [[-1.247, 0.147, -5.329], [7.747, -1.790, 0.960], [-0.940, -7.430, 2.838]], "species": ["Sc", "Sc", "Ho", "La", "Ho", "Sc", "Sc", "Ho", "Sc", "Sc", "Sc"], "fractional_positions": [[0.000, 0.500, 0.500], [0.207, 0.206, 0.206], [0.000, 0.208, 0.792], [0.500, 0.500, 0.500], [0.000, 0.792, 0.208], [0.720, 0.032, 0.408], [0.720, 0.408, 0.032], [0.500, 0.000, 0.000], [0.280, 0.968, 0.592], [0.280, 0.592, 0.968], [0.793, 0.794, 0.794]]}

---

No. 3
{"formula": "LaHo3Sc2", "functional": "GGA-PBE", "state": "relaxed", "mass_density_g_cm3": 6.61, "space_group": "C2/m (12)", "e_above_lowest_polymorph_mev_per_atom": 0, "total_energy_ha_per_atom": -0.186, "formation_enthalpy_0k_ev_per_atom": 0.152, "lattice": [[3.402, 0.000, 0.000], [0.000, 9.902, -0.504], [-1.701, -2.964, 10.945]], "species": ["Sc", "Ho", "Sc", "La", "La", "Ho", "Ho", "Ho", "Ho", "Sc", "Sc", "Ho"], "fractional_positions": [[0.069, 0.143, 0.137], [0.066, 0.767, 0.133], [0.931, 0.857, 0.863], [0.682, 0.048, 0.365], [0.318, 0.952, 0.635], [0.304, 0.294, 0.608], [0.440, 0.562, 0.880], [0.696, 0.706, 0.392], [0.560, 0.438, 0.120], [0.308, 0.625, 0.616], [0.692, 0.375, 0.384], [0.934, 0.233, 0.867]]}

---

No. 4
{"formula": "LaHo2Sc", "functional": "GGA-PBE", "state": "relaxed", "mass_density_g_cm3": 6.90, "space_group": "P4/mmm (123)", "e_above_lowest_polymorph_mev_per_atom": 26, "total_energy_ha_per_atom": -0.185, "formation_enthalpy_0k_ev_per_atom": 0.059, "lattice": [[3.518, 0.000, 0.000], [0.000, 3.518, 0.000], [0.000, 0.000, 9.984]], "species": ["Sc", "La", "Ho", "Ho"], "fractional_positions": [[0.500, 0.500, 0.000], [0.500, 0.500, 0.500], [0.000, 0.000, 0.230], [0.000, 0.000, 0.770]]}

---

No. 5
{"formula": "La11Ho9Sc4", "functional": "GGA-PBE", "state": "relaxed", "mass_density_g_cm3": 6.68, "space_group": "Cmmm (65)", "total_energy_ha_per_atom": -0.182, "formation_enthalpy_0k_ev_per_atom": 0.070, "lattice": [[3.634, 0.000, 0.000], [0.000, 14.167, -6.028], [0.000, 0.025, 15.396]], "species": ["Ho", "La", "La", "La", "La", "Sc", "Ho", "La", "Ho", "Ho", "La", "La", "La", "Ho", "Sc", "La", "La", "Sc", "Ho", "Ho", "Sc", "Ho", "La", "Ho"], "fractional_positions": [[0.500, 0.371, 0.833], [0.000, 0.405, 0.045], [0.000, 0.841, 0.159], [0.000, 0.955, 0.595], [0.000, 0.045, 0.405], [0.500, 0.240, 0.445], [0.500, 0.500, 0.500], [0.000, 0.595, 0.955], [0.500, 0.217, 0.074], [0.500, 0.783, 0.926], [0.000, 0.159, 0.841], [0.000, 0.701, 0.701], [0.000, 0.630, 0.370], [0.500, 0.629, 0.167], [0.500, 0.555, 0.760], [0.000, 0.370, 0.630], [0.000, 0.299, 0.299], [0.500, 0.445, 0.240], [0.500, 0.833, 0.371], [0.500, 0.926, 0.783], [0.500, 0.760, 0.555], [0.500, 0.167, 0.629], [0.000, 0.000, 0.000], [0.500, 0.074, 0.217]]}

---

No. 6
{"formula": "La2Ho4Sc", "functional": "GGA-PBE", "state": "relaxed", "mass_density_g_cm3": 6.46, "space_group": "I4/mmm (139)", "e_above_lowest_polymorph_mev_per_atom": 351, "total_energy_ha_per_atom": -0.162, "formation_enthalpy_0k_ev_per_atom": 0.532, "lattice": [[-1.174, 4.397, 2.876], [-3.649, 1.438, -3.688], [-3.704, -7.371, 4.720]], "species": ["Ho", "Ho", "Ho", "La", "Ho", "Sc", "La"], "fractional_positions": [[0.500, 0.000, 0.000], [0.828, 0.828, 0.655], [0.000, 0.500, 0.000], [0.372, 0.372, 0.743], [0.172, 0.172, 0.345], [0.000, 0.000, 0.000], [0.628, 0.628, 0.257]]}

---

No. 7
{"formula": "La5Ho6Sc", "functional": "GGA-PBE", "state": "relaxed", "mass_density_g_cm3": 7.28, "space_group": "C2/m (12)", "total_energy_ha_per_atom": -0.177, "formation_enthalpy_0k_ev_per_atom": 0.043, "lattice": [[6.160, -0.024, 0.107], [-0.016, 6.719, 2.756], [0.072, 0.015, 9.543]], "species": ["La", "Sc", "Ho", "La", "La", "La", "Ho", "Ho", "Ho", "Ho", "Ho", "La"], "fractional_positions": [[0.675, 0.164, 0.673], [0.000, 0.000, 0.000], [0.831, 0.084, 0.328], [0.000, 0.500, 0.000], [0.664, 0.668, 0.664], [0.336, 0.332, 0.336], [0.169, 0.916, 0.672], [0.500, 0.246, 0.000], [0.500, 0.754, 0.000], [0.831, 0.588, 0.328], [0.169, 0.412, 0.672], [0.325, 0.836, 0.327]]}

---

No. 8
{"formula": "La2Ho3Sc3", "functional": "GGA-PBE", "state": "relaxed", "mass_density_g_cm3": 6.30, "space_group": "Immm (71)", "total_energy_ha_per_atom": -0.193, "formation_enthalpy_0k_ev_per_atom": 0.067, "lattice": [[-4.106, -0.692, 2.633], [1.381, -4.684, 0.922], [6.026, 5.647, 6.271]], "species": ["Ho", "La", "Ho", "Sc", "Sc", "La", "Ho", "Sc"], "fractional_positions": [[0.618, 0.618, 0.237], [0.249, 0.749, 0.498], [0.382, 0.382, 0.763], [0.119, 0.119, 0.238], [0.000, 0.500, 0.000], [0.751, 0.251, 0.502], [0.500, 0.000, 0.000], [0.881, 0.881, 0.762]]}

---

No. 9
{"formula": "La8Ho6Sc", "functional": "GGA-PBE", "state": "relaxed", "mass_density_g_cm3": 7.03, "space_group": "P-3 (147)", "total_energy_ha_per_atom": -0.173, "formation_enthalpy_0k_ev_per_atom": 0.163, "lattice": [[6.655, 0.000, 0.000], [0.000, 8.119, -4.688], [0.000, 0.000, 9.376]], "species": ["La", "Ho", "La", "La", "Ho", "La", "Sc", "Ho", "Ho", "Ho", "Ho", "La", "La", "La", "La"], "fractional_positions": [[0.124, 0.667, 0.333], [0.347, 0.099, 0.439], [0.876, 0.333, 0.667], [0.175, 0.760, 0.047], [0.653, 0.439, 0.339], [0.825, 0.713, 0.760], [0.500, 0.000, 0.000], [0.653, 0.661, 0.099], [0.653, 0.901, 0.561], [0.347, 0.561, 0.661], [0.347, 0.339, 0.901], [0.175, 0.953, 0.713], [0.825, 0.047, 0.287], [0.825, 0.240, 0.953], [0.175, 0.287, 0.240]]}

---

No. 10
{"formula": "LaHo2Sc", "functional": "GGA-PBE", "state": "relaxed", "mass_density_g_cm3": 6.96, "space_group": "R3m (160)", "e_above_lowest_polymorph_mev_per_atom": 0, "total_energy_ha_per_atom": -0.186, "formation_enthalpy_0k_ev_per_atom": 0.033, "lattice": [[3.535, 0.000, 0.000], [1.768, 3.062, 0.000], [1.768, 1.021, 11.324]], "species": ["Ho", "Ho", "La", "Sc"], "fractional_positions": [[0.088, 0.088, 0.735], [0.245, 0.245, 0.265], [0.666, 0.666, 0.002], [0.500, 0.500, 0.499]]}

---

No. 11
{"formula": "LaHo2Sc2", "functional": "GGA-PBE", "state": "relaxed", "mass_density_g_cm3": 5.50, "space_group": "Fddd (70)", "e_above_lowest_polymorph_mev_per_atom": 228, "total_energy_ha_per_atom": -0.176, "formation_enthalpy_0k_ev_per_atom": 0.563, "lattice": [[6.182, -0.694, 0.000], [-3.079, 5.405, 0.000], [-1.552, -2.356, 10.778]], "species": ["Sc", "Ho", "Ho", "Sc", "Ho", "La", "Ho", "Sc", "Sc", "La"], "fractional_positions": [[0.625, 0.875, 0.250], [0.170, 0.830, 0.000], [0.080, 0.920, 0.500], [0.625, 0.375, 0.750], [0.420, 0.580, 0.500], [0.750, 0.250, 0.500], [0.830, 0.170, 0.000], [0.625, 0.375, 0.250], [0.125, 0.375, 0.750], [0.500, 0.500, 0.000]]}

---

No. 12
{"formula": "LaHo15Sc4", "functional": "GGA-PBE", "state": "relaxed", "mass_density_g_cm3": 7.76, "space_group": "P4/mmm (123)", "total_energy_ha_per_atom": -0.180, "formation_enthalpy_0k_ev_per_atom": 0.043, "lattice": [[-4.748, -1.074, -0.765], [1.212, -2.424, -4.115], [2.602, -20.760, 12.993]], "species": ["Ho", "Sc", "Ho", "Ho", "Sc", "Ho", "Ho", "Ho", "Ho", "Ho", "Ho", "La", "Sc", "Ho", "Ho", "Ho", "Ho", "Ho", "Ho", "Sc"], "fractional_positions": [[0.000, 0.500, 0.106], [0.000, 0.000, 0.796], [0.500, 0.500, 0.402], [0.500, 0.500, 0.205], [0.000, 0.000, 0.598], [0.000, 0.500, 0.500], [0.500, 0.500, 0.598], [0.500, 0.000, 0.303], [0.500, 0.000, 0.697], [0.000, 0.500, 0.697], [0.500, 0.000, 0.500], [0.000, 0.000, 0.000], [0.000, 0.000, 0.204], [0.000, 0.500, 0.303], [0.000, 0.500, 0.894], [0.500, 0.500, 0.795], [0.500, 0.500, 0.000], [0.500, 0.000, 0.894], [0.500, 0.000, 0.106], [0.000, 0.000, 0.402]]}

---

No. 13
{"formula": "La2Ho2Sc", "functional": "GGA-PBE", "state": "relaxed", "mass_density_g_cm3": 6.77, "space_group": "C2/c (15)", "total_energy_ha_per_atom": -0.182, "formation_enthalpy_0k_ev_per_atom": 0.130, "lattice": [[-2.979, -4.762, -2.854], [5.811, -2.128, -1.185], [-1.715, -0.743, 8.956]], "species": ["Sc", "La", "La", "Ho", "Sc", "Ho", "Ho", "La", "Ho", "La"], "fractional_positions": [[0.313, 0.063, 0.750], [0.793, 0.226, 0.656], [0.570, 0.637, 0.844], [0.868, 0.238, 0.038], [0.687, 0.937, 0.250], [0.132, 0.762, 0.962], [0.200, 0.330, 0.462], [0.207, 0.774, 0.344], [0.800, 0.670, 0.538], [0.430, 0.363, 0.156]]}

---

No. 14
{"formula": "La8Ho2Sc", "functional": "GGA-PBE", "state": "relaxed", "mass_density_g_cm3": 6.39, "space_group": "Immm (71)", "total_energy_ha_per_atom": -0.180, "formation_enthalpy_0k_ev_per_atom": 0.105, "lattice": [[-2.066, 5.402, -0.633], [0.965, -0.545, -7.809], [-7.249, -5.499, 3.469]], "species": ["La", "La", "Ho", "La", "La", "La", "La", "La", "Sc", "La", "Ho"], "fractional_positions": [[0.371, 0.166, 0.742], [0.829, 0.829, 0.658], [0.801, 0.301, 0.602], [0.629, 0.834, 0.258], [0.371, 0.576, 0.743], [0.000, 0.277, 0.000], [0.171, 0.171, 0.342], [0.000, 0.723, 0.000], [0.500, 0.000, 0.000], [0.629, 0.424, 0.257], [0.199, 0.699, 0.398]]}

---

No. 15
{"formula": "La3Ho8Sc", "functional": "GGA-PBE", "state": "relaxed", "mass_density_g_cm3": 6.83, "space_group": "I-42m (121)", "total_energy_ha_per_atom": -0.156, "formation_enthalpy_0k_ev_per_atom": 0.572, "lattice": [[7.580, -0.396, -3.538], [-4.407, 7.005, -1.285], [-0.249, 0.396, 8.361]], "species": ["La", "Ho", "Ho", "Ho", "La", "Sc", "Ho", "Ho", "Ho", "La", "Ho", "Ho"], "fractional_positions": [[0.000, 0.500, 0.500], [0.536, 0.740, 0.740], [0.000, 0.796, 0.260], [0.752, 0.114, 0.114], [0.500, 0.750, 0.250], [0.000, 0.000, 0.000], [0.248, 0.362, 0.362], [0.464, 0.204, 0.204], [0.000, 0.886, 0.638], [0.500, 0.250, 0.750], [0.000, 0.638, 0.886], [0.000, 0.260, 0.796]]}

---

No. 16
{"formula": "La3Ho7Sc", "functional": "GGA-PBE", "state": "relaxed", "mass_density_g_cm3": 7.23, "space_group": "P3m1 (156)", "total_energy_ha_per_atom": -0.171, "formation_enthalpy_0k_ev_per_atom": 0.177, "lattice": [[-0.003, 8.443, 2.039], [-5.909, -0.895, 3.696], [6.248, -0.753, 3.127]], "species": ["Sc", "La", "Ho", "Ho", "Ho", "La", "Ho", "Ho", "La", "Ho", "Ho"], "fractional_positions": [[0.441, 0.333, 0.667], [0.780, 0.499, 0.501], [0.126, 0.168, 0.832], [0.123, 0.667, 0.333], [0.126, 0.168, 0.336], [0.780, 0.499, 0.998], [0.443, 0.833, 0.665], [0.443, 0.335, 0.167], [0.780, 0.002, 0.501], [0.126, 0.664, 0.832], [0.443, 0.833, 0.167]]}

---

No. 17
{"formula": "LaHo5Sc5", "functional": "GGA-PBE", "state": "relaxed", "mass_density_g_cm3": 5.97, "space_group": "P-6m2 (187)", "total_energy_ha_per_atom": -0.190, "formation_enthalpy_0k_ev_per_atom": 0.238, "lattice": [[5.812, 0.000, 0.000], [-2.906, 5.033, 0.000], [0.000, 0.000, 11.308]], "species": ["Sc", "Sc", "Ho", "Ho", "Ho", "La", "Sc", "Sc", "Sc", "Ho", "Ho"], "fractional_positions": [[0.836, 0.164, 0.500], [0.329, 0.164, 0.500], [0.667, 0.333, 0.835], [0.333, 0.667, 0.673], [0.333, 0.667, 0.327], [0.333, 0.667, 0.000], [0.000, 0.000, 0.731], [0.000, 0.000, 0.269], [0.836, 0.671, 0.500], [0.667, 0.333, 0.165], [0.000, 0.000, 0.000]]}

---

No. 18
{"formula": "LaHo2Sc", "functional": "GGA-PBE", "state": "relaxed", "mass_density_g_cm3": 6.96, "space_group": "R-3m (166)", "e_above_lowest_polymorph_mev_per_atom": 19, "total_energy_ha_per_atom": -0.186, "formation_enthalpy_0k_ev_per_atom": 0.052, "lattice": [[3.523, 0.000, 0.000], [1.762, 3.051, 0.000], [1.762, 1.017, 11.404]], "species": ["Sc", "La", "Ho", "Ho"], "fractional_positions": [[0.500, 0.500, 0.500], [0.000, 0.000, 0.000], [0.755, 0.755, 0.735], [0.245, 0.245, 0.265]]}

---

No. 19
{"formula": "La7Ho2Sc2", "functional": "GGA-PBE", "state": "relaxed", "mass_density_g_cm3": 6.12, "space_group": "C2/m (12)", "e_above_lowest_polymorph_mev_per_atom": 0, "total_energy_ha_per_atom": -0.184, "formation_enthalpy_0k_ev_per_atom": 0.125, "lattice": [[-2.913, 0.655, -7.773], [-0.947, -6.758, -1.178], [-6.300, 2.389, 1.599]], "species": ["La", "La", "La", "Ho", "Ho", "Sc", "La", "La", "Sc", "La", "La"], "fractional_positions": [[0.182, 0.512, 0.073], [0.182, 0.073, 0.512], [0.483, 0.797, 0.797], [0.818, 0.427, 0.427], [0.182, 0.573, 0.573], [0.500, 0.291, 0.709], [0.517, 0.203, 0.203], [0.000, 0.000, 0.000], [0.500, 0.709, 0.291], [0.818, 0.488, 0.927], [0.818, 0.927, 0.488]]}

---

No. 20
{"formula": "La8Ho3Sc2", "functional": "GGA-PBE", "state": "relaxed", "mass_density_g_cm3": 6.40, "space_group": "C2/m (12)", "total_energy_ha_per_atom": -0.180, "formation_enthalpy_0k_ev_per_atom": 0.156, "lattice": [[5.908, 6.546, 0.782], [-5.908, 6.546, 0.782], [0.000, 1.589, 5.876]], "species": ["La", "La", "La", "Ho", "Ho", "La", "La", "La", "Sc", "Ho", "Sc", "La", "La"], "fractional_positions": [[0.411, 0.920, 0.349], [0.556, 0.556, 0.207], [0.920, 0.411, 0.349], [0.000, 0.000, 0.500], [0.744, 0.256, 0.000], [0.080, 0.589, 0.651], [0.444, 0.444, 0.793], [0.853, 0.853, 0.089], [0.702, 0.702, 0.655], [0.256, 0.744, 0.000], [0.298, 0.298, 0.345], [0.589, 0.080, 0.651], [0.147, 0.147, 0.911]]}